No. 1
# KRe2 (GGA-PBE, optimized geometry)
# * space-group type: Fd-3m, No. 227
# * relative energy among the computed polymorphs: 37 meV/atom
data_KRe2
_chemical_formula_sum 'K2 Re4'
_cell_length_a 5.486
_cell_length_b 5.486
_cell_length_c 5.486
_cell_angle_alpha 60.00
_cell_angle_beta 60.00
_cell_angle_gamma 60.00
_space_group_name_H-M_alt 'P 1'
_space_group_IT_number 1
loop_
_space_group_symop_operation_xyz
'x,y,z'
loop_
_atom_site_label
_atom_site_fract_x
_atom_site_fract_y
_atom_site_fract_z
Re1 0.625 0.625 0.625
Re2 0.625 0.125 0.625
K1 0.000 0.000 0.000
K2 0.250 0.250 0.250
Re3 0.625 0.625 0.125
Re4 0.125 0.625 0.625


No. 2
# Tc2As3 (GGA-PBE, optimized geometry)
# * space-group type: P-1, No. 2
# * E_tot: -7.22 eV per atom
data_Tc2As3
_chemical_formula_sum 'Tc8 As12'
_cell_length_a 6.651
_cell_length_b 6.680
_cell_length_c 8.050
_cell_angle_alpha 95.81
_cell_angle_beta 101.62
_cell_angle_gamma 104.46
_space_group_name_H-M_alt 'P 1'
_space_group_IT_number 1
loop_
_space_group_symop_operation_xyz
'x,y,z'
loop_
_atom_site_label
_atom_site_fract_x
_atom_site_fract_y
_atom_site_fract_z
As1 0.032 0.189 0.950
Tc1 0.911 0.124 0.625
Tc2 0.089 0.876 0.375
Tc3 0.531 0.865 0.365
As2 0.545 0.205 0.964
As3 0.860 0.130 0.314
Tc4 0.085 0.574 0.858
As4 0.372 0.156 0.320
Tc5 0.631 0.571 0.867
As5 0.764 0.434 0.614
As6 0.968 0.811 0.050
As7 0.140 0.870 0.686
As8 0.455 0.795 0.036
Tc6 0.915 0.426 0.142
As9 0.236 0.566 0.386
As10 0.736 0.592 0.347
Tc7 0.469 0.135 0.635
As11 0.628 0.844 0.680
As12 0.264 0.408 0.653
Tc8 0.369 0.429 0.133


No. 3
# ThZrCo (GGA-PBE, optimized geometry)
# * formation energy from the elements: 2.5 eV per formula unit
# * space-group type: F-43m, No. 216
data_ThZrCo
_chemical_formula_sum 'Th1 Zr1 Co1'
_cell_length_a 4.565
_cell_length_b 4.565
_cell_length_c 4.565
_cell_angle_alpha 60.00
_cell_angle_beta 60.00
_cell_angle_gamma 60.00
_space_group_name_H-M_alt 'P 1'
_space_group_IT_number 1
loop_
_space_group_symop_operation_xyz
'x,y,z'
loop_
_atom_site_label
_atom_site_fract_x
_atom_site_fract_y
_atom_site_fract_z
Zr1 0.500 0.500 0.500
Th1 0.250 0.250 0.250
Co1 0.000 0.000 0.000


No. 4
# Ho2AsO4 (GGA-PBE, optimized geometry)
# * space-group type: Fd-3m, No. 227
# * E_tot: -7.19 eV per atom
data_Ho2AsO4
_chemical_formula_sum 'Ho4 As2 O8'
_cell_length_a 6.720
_cell_length_b 6.720
_cell_length_c 6.720
_cell_angle_alpha 119.99
_cell_angle_beta 90.01
_cell_angle_gamma 119.99
_space_group_name_H-M_alt 'P 1'
_space_group_IT_number 1
loop_
_space_group_symop_operation_xyz
'x,y,z'
loop_
_atom_site_label
_atom_site_fract_x
_atom_site_fract_y
_atom_site_fract_z
O1 0.162 0.775 0.387
As1 0.000 0.000 0.000
Ho1 0.875 0.250 0.625
O2 0.137 0.275 0.863
Ho2 0.375 0.750 0.125
Ho3 0.375 0.750 0.625
Ho4 0.375 0.250 0.625
O3 0.613 0.225 0.838
O4 0.137 0.725 0.863
O5 0.613 0.775 0.387
O6 0.588 0.725 0.863
O7 0.613 0.225 0.387
O8 0.137 0.275 0.412
As2 0.750 0.500 0.250


No. 5
# KPaAg (GGA-PBE, optimized geometry)
# * space-group type: F-43m, No. 216
# * relative energy among the computed polymorphs: 0 meV/atom
data_KPaAg
_chemical_formula_sum 'K1 Pa1 Ag1'
_cell_length_a 5.229
_cell_length_b 5.229
_cell_length_c 5.229
_cell_angle_alpha 60.00
_cell_angle_beta 60.00
_cell_angle_gamma 60.00
_space_group_name_H-M_alt 'P 1'
_space_group_IT_number 1
loop_
_space_group_symop_operation_xyz
'x,y,z'
loop_
_atom_site_label
_atom_site_fract_x
_atom_site_fract_y
_atom_site_fract_z
Ag1 0.000 0.000 0.000
K1 0.250 0.250 0.250
Pa1 0.750 0.750 0.750


No. 6
# TbHoS2F2 (GGA-PBE, optimized geometry)
# * space-group type: P4mm, No. 99
# * E_tot: -6.54 eV per atom
data_TbHoS2F2
_chemical_formula_sum 'Tb1 Ho1 S2 F2'
_cell_length_a 3.748
_cell_length_b 3.748
_cell_length_c 6.782
_cell_angle_alpha 90.00
_cell_angle_beta 90.00
_cell_angle_gamma 90.00
_space_group_name_H-M_alt 'P 1'
_space_group_IT_number 1
loop_
_space_group_symop_operation_xyz
'x,y,z'
loop_
_atom_site_label
_atom_site_fract_x
_atom_site_fract_y
_atom_site_fract_z
Tb1 0.500 0.500 0.228
S1 0.000 0.000 0.359
Ho1 0.000 0.000 0.771
S2 0.500 0.500 0.644
F1 0.500 0.000 0.999
F2 0.000 0.500 0.999


In order of appearance, M_tot = 0.0; 0.0; 0.0; 0.0; 2.7; 0.0 μB per formula unit.